[1]
Entry from Alexandria: a PBEsol-optimized structure of Si3Cl (meta-GGA SCAN).

As for the formation energy (no corrections): 0.71 eV/atom. For the energy above the most stable polymorph in this dataset, the calculation gives 0 meV/atom. Its space group is Fm-3m, No. 225. For the volume, the calculation gives 63 Å³/f.u.

a b c (Å): 4.4559 4.4559 4.4559
angles (deg): 60.00 60.00 60.00
Fractional positions:
1 Si 0.7500 0.7500 0.7500
2 Si 0.5000 0.5000 0.5000
3 Si 0.2500 0.2500 0.2500
4 Cl 0.0000 0.0000 0.0000

[2]
Entry from Alexandria: a PBEsol-optimized structure of RbO2F2 (meta-GGA SCAN).

As for the formation energy (no corrections): -0.02 eV/atom. Its space group is P4/mmm, No. 123. For the volume, the calculation gives 79 Å³/f.u.

a b c (Å): 3.7340 3.7340 5.6843
angles (deg): 90.00 90.00 90.00
Fractional positions:
1 O 0.0000 0.5000 0.0000
2 O 0.5000 0.0000 0.0000
3 Rb 0.5000 0.5000 0.5000
4 F 0.0000 0.0000 0.0000
5 F 0.0000 0.0000 0.5000

[3]
Entry from Alexandria: a PBEsol-optimized structure of ReNi (meta-GGA SCAN).

As for the electronic total energy: -1.604 hartree per atom. Its space group is Pmma, No. 51. For the volume, the calculation gives 25 Å³/f.u.

a b c (Å): 2.6096 4.2079 4.5310
angles (deg): 90.00 90.00 90.00
Fractional positions:
1 Re 0.5000 0.2500 0.8339
2 Re 0.5000 0.7500 0.1661
3 Ni 0.0000 0.2500 0.3484
4 Ni 0.0000 0.7500 0.6516

[4]
Entry from Alexandria: a PBEsol-optimized structure of Zr4HgIr (meta-GGA SCAN).

As for the electronic total energy: -1.596 hartree per atom. Its space group is F-43m, No. 216. For the volume, the calculation gives 118 Å³/f.u.

a b c (Å): 5.4994 5.4994 5.4994
angles (deg): 60.00 60.00 60.00
Fractional positions:
1 Hg 0.7500 0.7500 0.7500
2 Ir 0.0000 0.0000 0.0000
3 Zr 0.3737 0.3737 0.3737
4 Zr 0.3737 0.3737 0.8788
5 Zr 0.8788 0.3737 0.3737
6 Zr 0.3737 0.8788 0.3737

[5]
Entry from Alexandria: a PBEsol-optimized structure of CaMnPt (meta-GGA SCAN).

As for the electronic total energy: -1.223 hartree per atom. Its space group is F-43m, No. 216. For the volume, the calculation gives 67 Å³/f.u.

a b c (Å): 4.5476 4.5476 4.5476
angles (deg): 60.00 60.00 60.00
Fractional positions:
1 Ca 0.0000 0.0000 0.0000
2 Mn 0.5000 0.5000 0.5000
3 Pt 0.2500 0.2500 0.2500

[6]
Entry from Alexandria: a PBEsol-optimized structure of BaPtRh (meta-GGA SCAN).

As for the electronic total energy: -1.729 hartree per atom. Its space group is F-43m, No. 216. For the volume, the calculation gives 74 Å³/f.u.

a b c (Å): 4.7130 4.7130 4.7130
angles (deg): 60.00 60.00 60.00
Fractional positions:
1 Ba 0.2500 0.2500 0.2500
2 Pt 0.0000 0.0000 0.0000
3 Rh 0.5000 0.5000 0.5000

[7]
Entry from Alexandria: a PBEsol-optimized structure of NaMoN2 (meta-GGA SCAN).

As for the formation energy (no corrections): -0.49 eV/atom. For the energy above the most stable polymorph in this dataset, the calculation gives 11 meV/atom. Its space group is Pbca, No. 61. For the volume, the calculation gives 59 Å³/f.u.

a b c (Å): 5.6149 11.1397 15.1299
angles (deg): 90.00 90.00 90.00
Fractional positions:
1 Na 0.2780 0.9993 0.4453
2 Na 0.7780 0.5007 0.5547
3 Na 0.7220 0.4993 0.0547
4 Na 0.2220 0.0007 0.9453
5 Na 0.7220 0.0007 0.5547
6 Na 0.2220 0.4993 0.4453
7 Na 0.2780 0.5007 0.9453
8 Na 0.7780 0.9993 0.0547
9 Na 0.2293 0.2765 0.3166
10 Na 0.7293 0.2235 0.6834
11 Na 0.7707 0.7765 0.1834
12 Na 0.2707 0.7235 0.8166
13 Na 0.7707 0.7235 0.6834
14 Na 0.2707 0.7765 0.3166
15 Na 0.2293 0.2235 0.8166
16 Na 0.7293 0.2765 0.1834
17 Mo 0.7861 0.0204 0.3082
18 Mo 0.2861 0.4796 0.6918
19 Mo 0.2139 0.5204 0.1918
20 Mo 0.7139 0.9796 0.8082
21 Mo 0.2139 0.9796 0.6918
22 Mo 0.7139 0.5204 0.3082
23 Mo 0.7861 0.4796 0.8082
24 Mo 0.2861 0.0204 0.1918
25 Mo 0.7260 0.2722 0.4318
26 Mo 0.2260 0.2278 0.5682
27 Mo 0.2740 0.7722 0.0682
28 Mo 0.7740 0.7278 0.9318
29 Mo 0.2740 0.7278 0.5682
30 Mo 0.7740 0.7722 0.4318
31 Mo 0.7260 0.2278 0.9318
32 Mo 0.2260 0.2722 0.0682
33 N 0.0014 0.3105 0.5010
34 N 0.5014 0.1895 0.4990
35 N 0.9986 0.8105 0.9990
36 N 0.4986 0.6895 0.0010
37 N 0.9986 0.6895 0.4990
38 N 0.4986 0.8105 0.5010
39 N 0.0014 0.1895 0.0010
40 N 0.5014 0.3105 0.9990
41 N 0.5947 0.4202 0.3992
42 N 0.0947 0.0798 0.6008
43 N 0.4053 0.9202 0.1008
44 N 0.9053 0.5798 0.8992
45 N 0.4053 0.5798 0.6008
46 N 0.9053 0.9202 0.3992
47 N 0.5947 0.0798 0.8992
48 N 0.0947 0.4202 0.1008
49 N 0.8259 0.1852 0.3315
50 N 0.3259 0.3148 0.6685
51 N 0.1741 0.6852 0.1685
52 N 0.6741 0.8148 0.8315
53 N 0.1741 0.8148 0.6685
54 N 0.6741 0.6852 0.3315
55 N 0.8259 0.3148 0.8315
56 N 0.3259 0.1852 0.1685
57 N 0.5417 0.4858 0.2045
58 N 0.0417 0.0142 0.7955
59 N 0.4583 0.9858 0.2955
60 N 0.9583 0.5142 0.7045
61 N 0.4583 0.5142 0.7955
62 N 0.9583 0.9858 0.2045
63 N 0.5417 0.0142 0.7045
64 N 0.0417 0.4858 0.2955

[8]
Entry from Alexandria: a PBEsol-optimized structure of BaP2Pb (meta-GGA SCAN).

As for the electronic total energy: -1.266 hartree per atom. Its space group is I-42d, No. 122. For the volume, the calculation gives 119 Å³/f.u.

a b c (Å): 6.7698 6.7698 6.7698
angles (deg): 104.31 112.11 112.11
Fractional positions:
1 Pb 0.0000 0.0000 0.0000
2 Pb 0.5000 0.7500 0.2500
3 P 0.9382 0.8750 0.3132
4 P 0.0618 0.3750 0.9368
5 P 0.5618 0.6868 0.6250
6 P 0.4382 0.0632 0.1250
7 Ba 0.0000 0.5000 0.5000
8 Ba 0.5000 0.2500 0.7500

[9]
Entry from Alexandria: a PBEsol-optimized structure of Na2BSbIr (meta-GGA SCAN).

As for the formation energy (no corrections): 1.15 eV/atom. Its space group is P4/mmm, No. 123. For the volume, the calculation gives 93 Å³/f.u.

a b c (Å): 4.5209 4.5279 4.5279
angles (deg): 90.00 90.00 90.00
Fractional positions:
1 Sb 0.5000 0.0000 0.0000
2 B 0.0000 0.0000 0.0000
3 Ir 0.5000 0.5000 0.5000
4 Na 0.0000 0.0000 0.5000
5 Na 0.0000 0.5000 0.0000

[10]
Entry from Alexandria: a PBEsol-optimized structure of AlAg2Os (meta-GGA SCAN).

As for the electronic total energy: -1.295 hartree per atom. Its space group is I4/mmm, No. 139. For the volume, the calculation gives 61 Å³/f.u.

a b c (Å): 3.7619 3.7619 5.0767
angles (deg): 111.75 111.75 90.00
Fractional positions:
1 Os 0.0000 0.0000 0.0000
2 Al 0.5000 0.5000 0.0000
3 Ag 0.7500 0.2500 0.5000
4 Ag 0.2500 0.7500 0.5000

[11]
Entry from Alexandria: a PBEsol-optimized structure of Li2NiSnO4 (meta-GGA SCAN).

As for the formation energy (no corrections): -1.84 eV/atom. Its space group is P2/m, No. 10. For the volume, the calculation gives 77 Å³/f.u.

a b c (Å): 3.0632 5.1419 5.1835
angles (deg): 108.95 90.00 90.00
Fractional positions:
1 Ni 0.5000 0.5000 0.5000
2 Sn 0.0000 0.5000 0.0000
3 O 0.0000 0.2719 0.2574
4 O 0.0000 0.7281 0.7426
5 O 0.5000 0.2589 0.7594
6 O 0.5000 0.7411 0.2406
7 Li 0.0000 0.0000 0.5000
8 Li 0.5000 0.0000 0.0000

[12]
Entry from Alexandria: a PBEsol-optimized structure of MgTeAs2 (meta-GGA SCAN).

As for the formation energy (no corrections): -0.22 eV/atom. For the energy above the most stable polymorph in this dataset, the calculation gives 17 meV/atom. Its space group is I4/mmm, No. 139. For the volume, the calculation gives 91 Å³/f.u.

a b c (Å): 4.9096 4.9096 4.9096
angles (deg): 109.23 109.23 109.96
Fractional positions:
1 As 0.0000 0.5000 0.5000
2 As 0.5000 0.0000 0.5000
3 Te 0.5000 0.5000 0.0000
4 Mg 0.0000 0.0000 0.0000